Entry 1:
Sr2ScAu2, optimized geometry, DFT GGA-PBE; calculated volume = 156.06 Å³/f.u.; ΔE to the lowest computed polymorph = 0.444 eV per atom; calculated formation energy = -10.1 kJ per mole of atoms
1.0
4.898 0.000 0.000
0.000 4.898 0.000
2.449 2.449 6.504
Au Sr Sc
2 2 1
Direct
0.397 0.397 0.205
0.603 0.603 0.795
0.250 0.750 0.500
0.750 0.250 0.500
0.000 0.000 0.000

Entry 2:
Ce3InAu, optimized geometry, DFT GGA-PBE; calculated volume = 135.59 Å³/f.u.; calculated formation energy = -27.6 kJ per mole of atoms
1.0
-2.036 1.720 -5.382
-2.956 -7.809 -1.378
-9.322 2.751 4.406
Ce In Au
12 4 4
Direct
0.503 0.383 0.409
0.736 0.768 0.250
0.503 0.383 0.091
0.264 0.232 0.750
0.003 0.117 0.409
0.997 0.883 0.591
0.497 0.617 0.591
0.236 0.732 0.250
0.497 0.617 0.909
0.003 0.117 0.091
0.997 0.883 0.909
0.764 0.268 0.750
0.500 0.000 0.000
0.000 0.500 0.500
0.500 0.000 0.500
0.000 0.500 0.000
0.532 0.909 0.750
0.032 0.591 0.750
0.968 0.409 0.250
0.468 0.091 0.250